Entry from Alexandria via LeMat-Bulk: a relaxed structure of BaReHg3 (PBE).

abc: 6.4320 6.4320 6.4320
angles: 90.00 90.00 90.00
Space group Pm-3m (No. 221)
Symmetry-distinct sites (fractional):
Ba  0.0000  0.0000  0.0000 [1 per cell]
Re  0.5000  0.5000  0.5000 [1 per cell]
Hg  0.0000  0.0000  0.5000 [3 per cell]

Summary:
Total moment: 4.08 μB/f.u.
Final energy: -1.48 eV/atom
Energy of formation from the pure elements: 1.579 eV per atom
Polymorph energy (0 for the lowest one): 1328 meV per atom
N(E_F): 7.4 states/eV/cell